# 1
The following is a DFT calculation (PBE) of an optimized crystal structure of AlSnSb2.

Summary:
As for the space-group type: I-42d, No. 122. As for the energy above the most stable polymorph in this dataset: 0 meV per atom.

abc: 6.594 6.594 12.879
angles: 90.00 90.00 90.00
Sites, in units of the cell vectors:
Al 0.000 0.000 0.000
Al 0.000 0.500 0.250
Al 0.500 0.000 0.750
Al 0.500 0.500 0.500
Sn 0.000 0.000 0.500
Sn 0.000 0.500 0.750
Sn 0.500 0.000 0.250
Sn 0.500 0.500 0.000
Sb 0.215 0.250 0.125
Sb 0.250 0.715 0.375
Sb 0.250 0.785 0.875
Sb 0.285 0.250 0.625
Sb 0.715 0.750 0.625
Sb 0.750 0.215 0.875
Sb 0.750 0.285 0.375
Sb 0.785 0.750 0.125



# 2
The following is a DFT calculation (PBE) of an optimized crystal structure of Al2SnSb4.

Summary:
As for the space-group type: P-42m, No. 111.

abc: 5.933 5.933 6.264
angles: 90.00 90.00 90.00
Sites, in units of the cell vectors:
Al 0.000 0.500 0.000
Al 0.500 0.000 0.000
Sn 0.000 0.000 0.500
Sb 0.296 0.296 0.735
Sb 0.296 0.704 0.265
Sb 0.704 0.296 0.265
Sb 0.704 0.704 0.735



# 3
The following is a DFT calculation (PBE) of an optimized crystal structure of AlSnSb.

Summary:
As for the space-group type: P-1, No. 2. As for the energy above the most stable polymorph in this dataset: 76 meV per atom.

abc: 4.331 6.584 6.642
angles: 65.88 79.92 74.50
Sites, in units of the cell vectors:
Al 0.178 0.086 0.128
Al 0.822 0.914 0.872
Sn 0.307 0.566 0.808
Sn 0.693 0.434 0.192
Sb 0.281 0.183 0.666
Sb 0.719 0.817 0.334



# 4
The following is a DFT calculation (PBE) of an optimized crystal structure of AlSn3Sb.

Summary:
As for the space-group type: Pm-3m, No. 221. As for the energy above the most stable polymorph in this dataset: 460 meV per atom.

abc: 5.732 5.732 5.732
angles: 90.00 90.00 90.00
Sites, in units of the cell vectors:
Al 0.000 0.000 0.000
Sn 0.000 0.500 0.500
Sn 0.500 0.000 0.500
Sn 0.500 0.500 0.000
Sb 0.500 0.500 0.500



# 5
The following is a DFT calculation (PBE) of an optimized crystal structure of AlSnSb.

Summary:
As for the space-group type: P-1, No. 2. As for the energy above the most stable polymorph in this dataset: 62 meV per atom.

abc: 4.233 6.454 6.583
angles: 65.48 73.34 71.32
Sites, in units of the cell vectors:
Al 0.177 0.278 0.489
Al 0.823 0.722 0.511
Sn 0.477 0.723 0.177
Sn 0.523 0.277 0.823
Sb 0.167 0.794 0.779
Sb 0.833 0.206 0.221



# 6
The following is a DFT calculation (PBE) of an optimized crystal structure of AlSnSb2.

Summary:
As for the space-group type: R-3m, No. 166. As for the energy above the most stable polymorph in this dataset: 130 meV per atom.

abc: 3.568 3.568 30.486
angles: 90.00 90.00 120.00
Sites, in units of the cell vectors:
Al 0.000 0.000 0.000
Al 0.333 0.667 0.667
Al 0.667 0.333 0.333
Sn 0.000 0.000 0.500
Sn 0.333 0.667 0.167
Sn 0.667 0.333 0.833
Sb 0.000 0.000 0.396
Sb 0.000 0.000 0.604
Sb 0.333 0.667 0.063
Sb 0.333 0.667 0.270
Sb 0.667 0.333 0.730
Sb 0.667 0.333 0.937



# 7
The following is a DFT calculation (PBE) of an optimized crystal structure of Al3SnSb.

Summary:
As for the space-group type: Pm-3m, No. 221. As for the energy above the most stable polymorph in this dataset: 0 meV per atom.

abc: 5.211 5.211 5.211
angles: 90.00 90.00 90.00
Sites, in units of the cell vectors:
Al 0.000 0.000 0.500
Al 0.000 0.500 0.000
Al 0.500 0.000 0.000
Sn 0.000 0.000 0.000
Sb 0.500 0.500 0.500



# 8
The following is a DFT calculation (PBE) of an optimized crystal structure of AlSn4Sb5.

Summary:
As for the space-group type: R3m, No. 160.

abc: 23.284 23.284 23.284
angles: 10.94 10.94 10.94
Sites, in units of the cell vectors:
Al 0.000 0.000 0.000
Sn 0.196 0.196 0.196
Sn 0.387 0.387 0.387
Sn 0.608 0.608 0.608
Sn 0.801 0.801 0.801
Sb 0.155 0.155 0.155
Sb 0.346 0.346 0.346
Sb 0.548 0.548 0.548
Sb 0.740 0.740 0.740
Sb 0.962 0.962 0.962



# 9
The following is a DFT calculation (PBE) of an optimized crystal structure of AlSnSb.

Summary:
As for the space-group type: P1, No. 1. As for the energy above the most stable polymorph in this dataset: 83 meV per atom.

abc: 3.209 4.226 6.125
angles: 103.49 93.01 108.40
Sites, in units of the cell vectors:
Al 0.000 0.000 0.000
Sn 0.408 0.690 0.303
Sb 0.622 0.315 0.711



# 10
The following is a DFT calculation (PBE) of an optimized crystal structure of Al2SnSb2.

Summary:
As for the space-group type: P4/mbm, No. 127. As for the energy above the most stable polymorph in this dataset: 54 meV per atom.

abc: 8.206 8.206 3.679
angles: 90.00 90.00 90.00
Sites, in units of the cell vectors:
Al 0.135 0.365 0.000
Al 0.365 0.865 0.000
Al 0.635 0.135 0.000
Al 0.865 0.635 0.000
Sn 0.000 0.000 0.500
Sn 0.500 0.500 0.500
Sb 0.159 0.659 0.500
Sb 0.341 0.159 0.500
Sb 0.659 0.841 0.500
Sb 0.841 0.341 0.500



# 11
The following is a DFT calculation (PBE) of an optimized crystal structure of AlSnSb3.

Summary:
As for the space-group type: Pm-3m, No. 221. As for the energy above the most stable polymorph in this dataset: 0 meV per atom.

abc: 5.312 5.312 5.312
angles: 90.00 90.00 90.00
Sites, in units of the cell vectors:
Al 0.000 0.000 0.000
Sn 0.500 0.500 0.500
Sb 0.000 0.000 0.500
Sb 0.000 0.500 0.000
Sb 0.500 0.000 0.000



# 12
The following is a DFT calculation (PBE) of an optimized crystal structure of AlSn2Sb.

Summary:
As for the space-group type: Fm-3m, No. 225. As for the energy above the most stable polymorph in this dataset: 167 meV per atom.

abc: 7.440 7.440 7.440
angles: 90.00 90.00 90.00
Sites, in units of the cell vectors:
Al 0.000 0.000 0.000
Al 0.000 0.500 0.500
Al 0.500 0.000 0.500
Al 0.500 0.500 0.000
Sn 0.250 0.250 0.250
Sn 0.250 0.250 0.750
Sn 0.250 0.750 0.250
Sn 0.250 0.750 0.750
Sn 0.750 0.250 0.250
Sn 0.750 0.250 0.750
Sn 0.750 0.750 0.250
Sn 0.750 0.750 0.750
Sb 0.000 0.000 0.500
Sb 0.000 0.500 0.000
Sb 0.500 0.000 0.000
Sb 0.500 0.500 0.500



How do the records compare in energy relative to the elements, uncorrected? In the order shown, they have 0.04; 0.10; 0.08; 0.83; 0.06; 0.17; 0.70; 0.05; 0.08; 0.18; 0.44; 0.21 eV/atom.